No. 1
GGA-PBE AgTe2, optimized geometry; symmetry = I4_1/amd, No. 141; formation energy from raw total energies = 44 kJ/mol of formula units; magnetic moment = 0.00 μB per cell; Fermi-level density of states = 5.79 states/eV/cell
1.0
19.1924 -0.0051 0.0000
18.2834 5.8364 0.0000
-18.7379 -2.9157 2.9559
Ag Te
4 8
Direct
0.6770 0.1770 0.5000 Ag
0.0730 0.0730 0.0000 Ag
0.8230 0.3230 0.5000 Ag
0.9270 0.9270 0.0000 Ag
0.2710 0.2710 0.0000 Te
0.1580 0.6580 0.5000 Te
0.4790 0.9790 0.5000 Te
0.5920 0.5920 0.0000 Te
0.3420 0.8420 0.5000 Te
0.7290 0.7290 0.0000 Te
0.4080 0.4080 0.0000 Te
0.0210 0.5210 0.5000 Te

No. 2
GGA-PBE Sm2Dy4HoSc, optimized geometry; total DFT energy (no corrections) = -4.81 eV/atom; symmetry = P4/mmm, No. 123; magnetic moment = 0.00 μB per cell; Fermi-level density of states = 11.46 states/eV/cell
1.0
-0.9370 1.1689 -4.7606
-4.9051 -0.2142 0.9129
-4.8850 9.4518 3.2822
Ho Sm Dy Sc
1 2 4 1
Direct
0.0000 0.5000 0.5000 Ho
0.5000 0.0000 0.5000 Sm
0.0000 0.0000 0.0000 Sm
0.5000 0.2461 0.7544 Dy
0.0000 0.2539 0.2456 Dy
0.5000 0.7539 0.2456 Dy
0.0000 0.7461 0.7544 Dy
0.5000 0.5000 0.0000 Sc

No. 3
GGA-PBE YTa2As, optimized geometry; total DFT energy (no corrections) = -8.71 eV/atom; symmetry = P2/m, No. 10; magnetic moment = 0.00 μB per cell; Fermi-level density of states = 2.76 states/eV/cell
1.0
3.5586 0.0000 0.0000
0.0000 4.5286 0.0420
0.0000 3.4361 4.9732
As Ta Y
1 2 1
Direct
0.0000 0.0000 0.5000 As
0.5000 0.5000 0.0000 Ta
0.0000 0.0000 0.0000 Ta
0.5000 0.5000 0.5000 Y

No. 4
GGA-PBE Pr6NdEr2, optimized geometry; symmetry = C2/m, No. 12; magnetic moment = 0.00 μB per cell; Fermi-level density of states = 15.65 states/eV/cell; distance to the lowest polymorph of the same formula = 0.000 eV per atom
1.0
9.0860 4.6712 -0.4971
-9.0860 4.6712 -0.4971
0.0000 -0.1948 3.6912
Pr Er Nd
6 2 1
Direct
0.3319 0.3319 0.6797 Pr
0.1600 0.5006 0.1814 Pr
0.6681 0.6681 0.3203 Pr
0.4994 0.8400 0.8186 Pr
0.8400 0.4994 0.8186 Pr
0.5006 0.1600 0.1814 Pr
0.1645 0.8355 0.5000 Er
0.8355 0.1645 0.5000 Er
0.0000 0.0000 0.0000 Nd

> What is the formula in the third record?

YTa2As

> What is the magnetic moment in the second record?

0.00 μB per cell